(1)
# NdBiRhSe GGA-PBE optimized geometry
data_NdBiRhSe
_chemical_formula_sum 'Nd2 Bi2 Rh2 Se2'
_symmetry_space_group_name_H-M 'P 4/n m m'
_symmetry_Int_Tables_number 129
_cell_length_a 4.906
_cell_length_b 4.906
_cell_length_c 8.368
_cell_angle_alpha 90.00
_cell_angle_beta 90.00
_cell_angle_gamma 90.00
loop_
_symmetry_equiv_pos_as_xyz
'x,y,z'
'-x,-y,-z'
'-y+1/2,x,z'
'y+1/2,-x,-z'
'-x+1/2,-y+1/2,z'
'x+1/2,y+1/2,-z'
'y,-x+1/2,z'
'-y,x+1/2,-z'
'x+1/2,-y,-z'
'-x+1/2,y,z'
'-y,-x,-z'
'y,x,z'
'-x,y+1/2,-z'
'x,-y+1/2,z'
'y+1/2,x+1/2,-z'
'-y+1/2,-x+1/2,z'
loop_
_atom_site_label
_atom_site_type_symbol
_atom_site_fract_x
_atom_site_fract_y
_atom_site_fract_z
Nd1 Nd 0.250 0.250 0.192
Bi1 Bi 0.250 0.250 0.648
Rh1 Rh 0.250 0.750 0.500
Se1 Se 0.250 0.750 0.000
# Final energy (eV for the cell shown): -46.06
# Calculated volume (A^3/atom): 25.18
# E_form (uncorrected) (eV/atom): -0.89

---

(2)
# Nd4Bi2Ru GGA-PBE optimized geometry
data_Nd4Bi2Ru
_chemical_formula_sum 'Nd8 Bi4 Ru2'
_symmetry_space_group_name_H-M 'P 1 21/m 1'
_symmetry_Int_Tables_number 11
_cell_length_a 6.906
_cell_length_b 6.877
_cell_length_c 9.902
_cell_angle_alpha 90.00
_cell_angle_beta 110.06
_cell_angle_gamma 90.00
loop_
_symmetry_equiv_pos_as_xyz
'x,y,z'
'-x,-y,-z'
'-x,y+1/2,-z'
'x,-y+1/2,z'
loop_
_atom_site_label
_atom_site_type_symbol
_atom_site_fract_x
_atom_site_fract_y
_atom_site_fract_z
Nd1 Nd 0.027 0.003 0.261
Nd2 Nd 0.373 0.750 0.073
Nd3 Nd 0.417 0.750 0.618
Bi1 Bi 0.225 0.250 0.045
Bi2 Bi 0.226 0.250 0.566
Ru1 Ru 0.343 0.750 0.329
# Final energy (eV for the cell shown): -79.14
# Calculated volume (A^3/atom): 31.55

---

(3)
# Nd6BiRu GGA-PBE optimized geometry
data_Nd6BiRu
_chemical_formula_sum 'Nd6 Bi1 Ru1'
_symmetry_space_group_name_H-M 'P -1'
_symmetry_Int_Tables_number 2
_cell_length_a 7.029
_cell_length_b 7.033
_cell_length_c 8.032
_cell_angle_alpha 90.04
_cell_angle_beta 115.91
_cell_angle_gamma 119.96
loop_
_symmetry_equiv_pos_as_xyz
'x,y,z'
'-x,-y,-z'
loop_
_atom_site_label
_atom_site_type_symbol
_atom_site_fract_x
_atom_site_fract_y
_atom_site_fract_z
Nd1 Nd 0.043 0.084 0.274
Nd2 Nd 0.309 0.540 0.726
Nd3 Nd 0.314 0.730 0.273
Bi1 Bi 0.500 0.000 0.000
Ru1 Ru 0.500 0.500 0.500
# Final energy (eV for the cell shown): -42.68
# Calculated volume (A^3/atom): 37.12

---

(4)
# Nd6Bi3Ru GGA-PBE optimized geometry
data_Nd6Bi3Ru
_chemical_formula_sum 'Nd12 Bi6 Ru2'
_symmetry_space_group_name_H-M 'P 1 21/c 1'
_symmetry_Int_Tables_number 14
_cell_length_a 6.612
_cell_length_b 8.761
_cell_length_c 13.074
_cell_angle_alpha 90.00
_cell_angle_beta 119.75
_cell_angle_gamma 90.00
loop_
_symmetry_equiv_pos_as_xyz
'x,y,z'
'-x,-y,-z'
'-x,y+1/2,-z+1/2'
'x,-y+1/2,z+1/2'
loop_
_atom_site_label
_atom_site_type_symbol
_atom_site_fract_x
_atom_site_fract_y
_atom_site_fract_z
Nd1 Nd 0.055 0.199 0.442
Nd2 Nd 0.300 0.656 0.434
Nd3 Nd 0.363 0.036 0.230
Bi1 Bi 0.153 0.118 0.740
Bi2 Bi 0.500 0.000 0.500
Ru1 Ru 0.000 0.000 0.000
# Final energy (eV for the cell shown): -110.02
# Calculated volume (A^3/atom): 32.88